This record from Alexandria describes LaInPb2Se5 after structural relaxation. The functional is PBE.

POSCAR file:
```
LaInPb2Se5
1.0
2.1267 -9.6953 0.0000
2.1267 9.6953 0.0000
0.0000 0.0000 13.4079
La In Pb Se
2 2 4 10
Cartesian
2.1267 5.8412 6.7040
2.1267 -5.8412 0.0000
2.1267 0.8424 12.2734
2.1267 -0.8424 5.5694
2.1267 7.2242 10.8083
2.1267 6.9200 2.0029
2.1267 -6.9200 8.7068
2.1267 -7.2242 4.1044
2.1267 8.9409 7.1470
2.1267 3.9965 2.1145
2.1267 3.3792 11.3267
2.1267 2.8758 6.6583
2.1267 0.5254 3.4031
2.1267 -0.5254 10.1071
2.1267 -2.8758 13.3622
2.1267 -3.3792 4.6227
2.1267 -3.9965 8.8184
2.1267 -8.9409 0.4431
```

Values from the calculation:
Magnetization   0.0 μB/f.u.
Formation energy from raw total energies   -8.33 eV/f.u.
SG   No. 36
D(E_F)   0.00 states/eV per cell
Total energy   -4.54 eV per atom



This record from Alexandria describes TmPu2AgTe5 after structural relaxation. The functional is PBE.

POSCAR file:
```
TmPu2AgTe5
1.0
2.1602 -9.3500 0.0000
2.1602 9.3500 0.0000
0.0000 0.0000 13.1462
Tm Pu Ag Te
2 4 2 10
Cartesian
2.1602 5.7129 6.5731
2.1602 -5.7129 0.0000
2.1602 7.2253 2.2785
2.1602 7.0614 10.4993
2.1602 -7.0614 3.9262
2.1602 -7.2253 8.8516
2.1602 1.3059 12.4289
2.1602 -1.3059 5.8558
2.1602 8.5717 7.4428
2.1602 3.9291 2.1178
2.1602 3.6870 10.9273
2.1602 2.6552 6.4524
2.1602 0.0139 3.4540
2.1602 -0.0139 10.0271
2.1602 -2.6552 13.0255
2.1602 -3.6870 4.3542
2.1602 -3.9291 8.6909
2.1602 -8.5717 0.8697
```

Values from the calculation:
Magnetization   10.1 μB/f.u.
Formation energy from raw total energies   -8.20 eV/f.u.
SG   No. 36
D(E_F)   45.42 states/eV per cell
Total energy   -6.66 eV per atom



This record from Alexandria describes Zr2PdSe2 after structural relaxation. The functional is PBE.

POSCAR file:
```
Zr2PdSe2
1.0
7.4453 0.0000 0.0000
0.0000 7.4453 0.0000
0.0000 0.0000 3.4302
Zr Pd Se
4 2 4
Cartesian
1.1267 2.5960 0.0000
2.5960 6.3186 0.0000
4.8493 1.1267 0.0000
6.3186 4.8493 0.0000
0.0000 0.0000 1.7151
3.7226 3.7226 1.7151
1.0878 4.8104 1.7151
2.6349 1.0878 1.7151
4.8104 6.3575 1.7151
6.3575 2.6349 1.7151
```

Values from the calculation:
Magnetization   0.0 μB/f.u.
Formation energy from raw total energies   -4.42 eV/f.u.
SG   No. 127
D(E_F)   3.99 states/eV per cell
Total energy   -6.73 eV per atom
Energy above the lowest structure with this stoichiometry   0.0 meV/atom



This record from Alexandria describes Rb2CrSBr6 after structural relaxation. The functional is PBE.

POSCAR file:
```
Rb2CrSBr6
1.0
-4.0505 4.0505 5.0459
4.0505 -4.0505 5.0459
4.0505 4.0505 -5.0459
Rb Cr S Br
2 1 1 6
Cartesian
4.0505 0.0000 2.5229
0.0000 4.0505 2.5229
0.0000 0.0000 0.0000
0.0000 0.0000 5.0459
1.7823 1.7823 0.0000
2.2682 -2.2682 5.0459
0.0000 0.0000 2.6202
0.0000 0.0000 7.4715
-2.2682 2.2682 5.0459
2.2682 2.2682 5.0459
```

Values from the calculation:
Magnetization   3.5 μB/f.u.
Formation energy from raw total energies   -8.03 eV/f.u.
SG   No. 139
D(E_F)   8.07 states/eV per cell
Total energy   -3.38 eV per atom



This record from Alexandria describes Na2CuSn2 after structural relaxation. The functional is PBE.

POSCAR file:
```
Na2CuSn2
1.0
6.9703 0.0000 0.0000
0.0000 6.9703 0.0000
0.0000 0.0000 5.1978
Na Cu Sn
4 2 4
Cartesian
1.1627 2.3224 0.0000
2.3224 5.8076 0.0000
4.6479 1.1627 0.0000
5.8076 4.6479 0.0000
0.0000 0.0000 2.5989
3.4852 3.4852 2.5989
1.0424 4.5276 2.5989
2.4428 1.0424 2.5989
4.5276 5.9279 2.5989
5.9279 2.4428 2.5989
```

Values from the calculation:
Magnetization   0.0 μB/f.u.
Calculated formation energy   -0.08 eV/atom
SG   No. 127
D(E_F)   5.82 states/eV per cell
Total energy   -3.03 eV per atom
Energy above the lowest structure with this stoichiometry   7.1 meV/atom



This record from Alexandria describes LiNi3H8Pd2 after structural relaxation. The functional is PBE.

POSCAR file:
```
LiNi3H8Pd2
1.0
2.5958 1.4987 4.5773
-2.5958 1.4987 4.5773
0.0000 -2.9974 4.5773
Li Ni H Pd
1 3 8 2
Cartesian
0.0000 0.0000 0.0000
0.0000 -1.4981 7.2883
-1.2974 0.7490 7.2883
1.2974 0.7490 7.2883
0.0000 -1.2912 3.6266
-1.1182 0.6456 3.6266
0.0000 0.0000 1.9246
-1.2066 -0.6966 6.3516
1.1182 0.6456 3.6266
0.0000 0.0000 8.2048
1.2066 -0.6966 6.3516
0.0000 1.3932 6.3516
0.0000 0.0000 4.9859
0.0000 0.0000 10.0642
```

Values from the calculation:
Magnetization   0.0 μB/f.u.
SG   No. 160
D(E_F)   5.67 states/eV per cell
Total energy   -4.16 eV per atom



This record from Alexandria describes Re7Rh after structural relaxation. The functional is PBE.

POSCAR file:
```
Re7Rh
1.0
0.0000 3.9067 5.5204
2.7682 0.0000 5.5204
2.7682 3.9067 0.0000
Re Rh
7 1
Cartesian
0.0000 0.0000 0.0000
1.3841 1.9533 1.3915
2.7682 3.9067 2.7659
1.3841 1.9533 4.1289
4.1523 5.8600 6.9118
2.7682 3.9067 8.2748
4.1523 5.8600 9.6493
2.7682 3.9067 5.5204
```

Values from the calculation:
Magnetization   0.0 μB/f.u.
Calculated formation energy   0.02 eV/atom
SG   No. 69
D(E_F)   7.74 states/eV per cell
Total energy   -11.79 eV per atom
Energy above the lowest structure with this stoichiometry   15.9 meV/atom



This record from Alexandria describes YNbPO2 after structural relaxation. The functional is PBE.

POSCAR file:
```
YNbPO2
1.0
4.1273 0.0000 0.0000
0.0000 4.1273 0.0000
0.0000 0.0000 5.6946
Y Nb P O
1 1 1 2
Cartesian
0.0000 0.0000 0.0000
2.0637 2.0637 2.8473
0.0000 0.0000 2.8473
0.0000 2.0637 0.0000
2.0637 0.0000 0.0000
```

Values from the calculation:
Magnetization   1.0 μB/f.u.
Formation energy from raw total energies   -3.36 eV/f.u.
SG   No. 123
D(E_F)   5.38 states/eV per cell
Total energy   -7.04 eV per atom
Energy above the lowest structure with this stoichiometry   1214.1 meV/atom



This record from Alexandria describes Sm2GePt3 after structural relaxation. The functional is PBE.

POSCAR file:
```
Sm2GePt3
1.0
3.7289 0.0000 0.0000
0.0000 4.3854 0.0000
0.0000 0.0000 7.8536
Sm Ge Pt
2 1 3
Cartesian
0.0000 0.0000 0.0000
0.0000 2.1927 3.6762
1.8645 2.1927 6.3521
1.8645 0.0000 2.5599
1.8645 0.0000 5.2517
1.8645 2.1927 0.9756
```

Values from the calculation:
Magnetization   0.0 μB/f.u.
Calculated formation energy   -1.04 eV/atom
SG   No. 25
D(E_F)   3.21 states/eV per cell
Total energy   -6.41 eV per atom



This record from Alexandria describes Sc2TaCu after structural relaxation. The functional is PBE.

POSCAR file:
```
Sc2TaCu
1.0
4.9776 0.0000 0.0000
0.0000 4.9776 0.0000
0.0000 0.0000 3.0751
Sc Ta Cu
2 1 1
Cartesian
0.0000 2.4888 0.0000
2.4888 0.0000 0.0000
0.0000 0.0000 1.5376
2.4888 2.4888 1.5376
```

Values from the calculation:
Magnetization   0.0 μB/f.u.
Calculated formation energy   0.16 eV/atom
SG   No. 123
D(E_F)   6.13 states/eV per cell
Total energy   -6.99 eV per atom
Energy above the lowest structure with this stoichiometry   209.9 meV/atom



This record from Alexandria describes Y8AlCu2 after structural relaxation. The functional is PBE.

POSCAR file:
```
Y8AlCu2
1.0
4.3745 -6.7860 0.0000
4.3745 6.7860 0.0000
-1.4861 0.0000 5.1100
Y Al Cu
8 1 2
Cartesian
0.8920 1.6742 3.0068
4.3745 3.5556 0.0000
0.8920 -1.6742 3.0068
3.0972 0.0000 0.9837
4.1656 0.0000 4.1263
6.3708 1.6742 2.1032
4.3745 -3.5556 0.0000
6.3708 -1.6742 2.1032
0.0000 0.0000 0.0000
3.6314 2.5888 2.5550
3.6314 -2.5888 2.5550
```

Values from the calculation:
Magnetization   1.6 μB/f.u.
Calculated formation energy   -0.04 eV/atom
SG   No. 12
D(E_F)   17.19 states/eV per cell
Total energy   -5.83 eV per atom



This record from Alexandria describes AlZn2Se after structural relaxation. The functional is PBE.

POSCAR file:
```
AlZn2Se
1.0
3.0527 0.0000 0.0000
0.0000 3.0527 0.0000
0.0000 0.0000 7.6416
Al Zn Se
1 2 1
Cartesian
0.0000 0.0000 0.0000
1.5264 1.5264 1.8353
1.5264 1.5264 5.8063
0.0000 0.0000 3.8208
```

Values from the calculation:
Magnetization   0.0 μB/f.u.
Formation energy from raw total energies   0.50 eV/f.u.
SG   No. 123
D(E_F)   1.34 states/eV per cell
Total energy   -2.32 eV per atom
Energy above the lowest structure with this stoichiometry   267.2 meV/atom